The following is a PBE-GGA calculation of a geometry-optimized Dy5ErMg4 structure, from Alexandria.

a = 3.7237 Å, b = 3.7237 Å, c = 20.1901 Å
α = 90.00°, β = 90.00°, γ = 90.00°
Last column: nearest neighbours and their distance in Å.
Element x y z (fractional)
Dy: 0.0000 0.0000 0.0000  8 Mg 3.26
Dy: 0.0000 0.0000 0.1905  8 Mg 3.26-3.27
Dy: 0.0000 0.0000 0.3837  4 Mg 3.29, 4 Er 3.53
Dy: 0.0000 0.0000 0.6163  4 Mg 3.29, 4 Er 3.53
Dy: 0.0000 0.0000 0.8095  8 Mg 3.26-3.27
Er: 0.5000 0.5000 0.5000  8 Dy 3.53, 4 Er 3.72
Mg: 0.5000 0.5000 0.0956  8 Dy 3.26
Mg: 0.5000 0.5000 0.2863  8 Dy 3.27-3.29
Mg: 0.5000 0.5000 0.7137  8 Dy 3.27-3.29
Mg: 0.5000 0.5000 0.9044  8 Dy 3.26

Computed properties:
SG ... P4/mmm, No. 123
Density ... 6388 kg/m³
Electronic total energy ... -0.1267 hartree per atom
E_form ... -1.21 kcal/mol of atoms

***

The following is a PBE-GGA calculation of a geometry-optimized LiPtCl2 structure, from Alexandria.

a = 3.9897 Å, b = 4.6785 Å, c = 4.9712 Å
α = 90.00°, β = 108.47°, γ = 90.00°
Last column: nearest neighbours and their distance in Å.
Element x y z (fractional)
Li: 0.0000 0.0000 0.0000  4 Cl 2.45-2.51
Pt: 0.7401 0.5000 0.3379  4 Cl 2.38-2.51
Cl: 0.6200 0.0000 0.3025  2 Pt 2.38, 2 Li 2.45
Cl: 0.7964 0.5000 0.8487  2 Pt 2.48-2.51, 2 Li 2.51

Computed properties:
SG ... Pm, No. 6
Density ... 5150 kg/m³
Electronic total energy ... -0.1305 hartree per atom
Energy above the most stable polymorph in this dataset ... 83 meV/atom